# TaReSbTe2, optimized geometry, DFT PBE
# Space group: No. 123
# Final energy, eV/atom: -5.52
# Formation energy (no corrections), eV/atom: 1.417
data_TaReSbTe2
_symmetry_space_group_name_H-M 'P 1'
_symmetry_Int_Tables_number 1
_symmetry_space_group_name_Hall 'P 1'
_cell_length_a 5.328
_cell_length_b 5.328
_cell_length_c 5.490
_cell_angle_alpha 90.00
_cell_angle_beta 90.00
_cell_angle_gamma 90.00
loop_
_atom_site_label
_atom_site_type_symbol
_atom_site_fract_x
_atom_site_fract_y
_atom_site_fract_z
Te1 Te 0.000 0.500 0.000
Te2 Te 0.500 0.000 0.000
Ta1 Ta 0.000 0.000 0.000
Sb1 Sb 0.000 0.000 0.500
Re1 Re 0.500 0.500 0.500

=====

# TaReSb2Te, optimized geometry, DFT PBE
# Space group: No. 123
# Final energy, eV/atom: -5.73
# Formation energy (no corrections), eV/atom: 1.408
data_TaReSb2Te
_symmetry_space_group_name_H-M 'P 1'
_symmetry_Int_Tables_number 1
_symmetry_space_group_name_Hall 'P 1'
_cell_length_a 5.078
_cell_length_b 5.078
_cell_length_c 5.376
_cell_angle_alpha 90.00
_cell_angle_beta 90.00
_cell_angle_gamma 90.00
loop_
_atom_site_label
_atom_site_type_symbol
_atom_site_fract_x
_atom_site_fract_y
_atom_site_fract_z
Sb1 Sb 0.000 0.500 0.000
Sb2 Sb 0.500 0.000 0.000
Te1 Te 0.000 0.000 0.500
Re1 Re 0.000 0.000 0.000
Ta1 Ta 0.500 0.500 0.500

=====

# TaVRe2Sb, optimized geometry, DFT PBE
# Space group: No. 123
# Final energy, eV/atom: -7.88
# Formation energy (no corrections), eV/atom: 2.114
data_TaVRe2Sb
_symmetry_space_group_name_H-M 'P 1'
_symmetry_Int_Tables_number 1
_symmetry_space_group_name_Hall 'P 1'
_cell_length_a 4.774
_cell_length_b 4.581
_cell_length_c 4.774
_cell_angle_alpha 90.00
_cell_angle_beta 90.00
_cell_angle_gamma 90.00
loop_
_atom_site_label
_atom_site_type_symbol
_atom_site_fract_x
_atom_site_fract_y
_atom_site_fract_z
Re1 Re 0.500 0.000 0.000
Re2 Re 0.000 0.000 0.500
Ta1 Ta 0.500 0.500 0.500
Sb1 Sb 0.000 0.000 0.000
V1 V 0.000 0.500 0.000

=====

# ZrTa2ReSb, optimized geometry, DFT PBE
# Space group: No. 123
# Final energy, eV/atom: -7.43
# Formation energy (no corrections), eV/atom: 2.330
data_ZrTa2ReSb
_symmetry_space_group_name_H-M 'P 1'
_symmetry_Int_Tables_number 1
_symmetry_space_group_name_Hall 'P 1'
_cell_length_a 4.872
_cell_length_b 4.872
_cell_length_c 5.120
_cell_angle_alpha 90.00
_cell_angle_beta 90.00
_cell_angle_gamma 90.00
loop_
_atom_site_label
_atom_site_type_symbol
_atom_site_fract_x
_atom_site_fract_y
_atom_site_fract_z
Ta1 Ta 0.000 0.500 0.000
Ta2 Ta 0.500 0.000 0.000
Sb1 Sb 0.000 0.000 0.500
Re1 Re 0.500 0.500 0.500
Zr1 Zr 0.000 0.000 0.000

=====

# TbReSb, optimized geometry, DFT PBE
# Space group: No. 129
# Final energy, eV/atom: -7.08
# Formation energy (no corrections), eV/atom: -0.012
data_TbReSb
_symmetry_space_group_name_H-M 'P 1'
_symmetry_Int_Tables_number 1
_symmetry_space_group_name_Hall 'P 1'
_cell_length_a 3.551
_cell_length_b 3.551
_cell_length_c 12.751
_cell_angle_alpha 90.00
_cell_angle_beta 90.00
_cell_angle_gamma 90.00
loop_
_atom_site_label
_atom_site_type_symbol
_atom_site_fract_x
_atom_site_fract_y
_atom_site_fract_z
Sb1 Sb 0.500 0.000 0.367
Sb2 Sb 0.000 0.500 0.633
Tb1 Tb 0.000 0.500 0.204
Tb2 Tb 0.500 0.000 0.796
Re1 Re 0.000 0.000 0.000
Re2 Re 0.500 0.500 0.000

=====

# Re2TcSb, optimized geometry, DFT PBE
# Space group: No. 65
# Final energy, eV/atom: -9.29
# Formation energy (no corrections), eV/atom: 0.556
data_Re2TcSb
_symmetry_space_group_name_H-M 'P 1'
_symmetry_Int_Tables_number 1
_symmetry_space_group_name_Hall 'P 1'
_cell_length_a 4.912
_cell_length_b 4.912
_cell_length_c 2.989
_cell_angle_alpha 90.00
_cell_angle_beta 90.00
_cell_angle_gamma 115.18
loop_
_atom_site_label
_atom_site_type_symbol
_atom_site_fract_x
_atom_site_fract_y
_atom_site_fract_z
Tc1 Tc 0.000 0.500 0.500
Re1 Re 0.500 0.500 0.000
Re2 Re 0.000 0.000 0.000
Sb1 Sb 0.500 0.000 0.500

=====

# Re2TcSb, optimized geometry, DFT PBE
# Space group: No. 44
# Final energy, eV/atom: -9.38
# Formation energy (no corrections), eV/atom: 0.469
data_Re2TcSb
_symmetry_space_group_name_H-M 'P 1'
_symmetry_Int_Tables_number 1
_symmetry_space_group_name_Hall 'P 1'
_cell_length_a 5.299
_cell_length_b 5.299
_cell_length_c 5.299
_cell_angle_alpha 145.73
_cell_angle_beta 129.24
_cell_angle_gamma 62.68
loop_
_atom_site_label
_atom_site_type_symbol
_atom_site_fract_x
_atom_site_fract_y
_atom_site_fract_z
Tc1 Tc 0.265 0.765 0.500
Re1 Re 0.740 0.240 0.500
Re2 Re 0.995 0.995 0.000
Sb1 Sb 0.500 0.500 0.000

=====

# Re2TcSb, optimized geometry, DFT PBE
# Space group: No. 139
# Final energy, eV/atom: -9.34
# Formation energy (no corrections), eV/atom: 0.502
data_Re2TcSb
_symmetry_space_group_name_H-M 'P 1'
_symmetry_Int_Tables_number 1
_symmetry_space_group_name_Hall 'P 1'
_cell_length_a 5.078
_cell_length_b 5.078
_cell_length_c 5.078
_cell_angle_alpha 135.10
_cell_angle_beta 135.10
_cell_angle_gamma 65.37
loop_
_atom_site_label
_atom_site_type_symbol
_atom_site_fract_x
_atom_site_fract_y
_atom_site_fract_z
Re1 Re 0.000 0.000 0.000
Re2 Re 0.500 0.500 0.000
Sb1 Sb 0.250 0.750 0.500
Tc1 Tc 0.750 0.250 0.500

=====

# Re2TcSb, optimized geometry, DFT PBE
# Space group: No. 216
# Final energy, eV/atom: -9.36
# Formation energy (no corrections), eV/atom: 0.488
data_Re2TcSb
_symmetry_space_group_name_H-M 'P 1'
_symmetry_Int_Tables_number 1
_symmetry_space_group_name_Hall 'P 1'
_cell_length_a 4.501
_cell_length_b 4.501
_cell_length_c 4.501
_cell_angle_alpha 60.00
_cell_angle_beta 60.00
_cell_angle_gamma 60.00
loop_
_atom_site_label
_atom_site_type_symbol
_atom_site_fract_x
_atom_site_fract_y
_atom_site_fract_z
Re1 Re 0.000 0.000 0.000
Re2 Re 0.250 0.250 0.250
Tc1 Tc 0.750 0.750 0.750
Sb1 Sb 0.500 0.500 0.500

=====

# Re2TcSb, optimized geometry, DFT PBE
# Space group: No. 25
# Final energy, eV/atom: -9.44
# Formation energy (no corrections), eV/atom: 0.404
data_Re2TcSb
_symmetry_space_group_name_H-M 'P 1'
_symmetry_Int_Tables_number 1
_symmetry_space_group_name_Hall 'P 1'
_cell_length_a 2.970
_cell_length_b 4.017
_cell_length_c 5.475
_cell_angle_alpha 90.00
_cell_angle_beta 90.00
_cell_angle_gamma 90.00
loop_
_atom_site_label
_atom_site_type_symbol
_atom_site_fract_x
_atom_site_fract_y
_atom_site_fract_z
Re1 Re 0.500 0.500 0.217
Re2 Re 0.000 0.000 0.023
Sb1 Sb 0.000 0.000 0.516
Tc1 Tc 0.500 0.500 0.743

=====

# ReTcSb, optimized geometry, DFT PBE
# Space group: No. 44
# Final energy, eV/atom: -8.53
# Formation energy (no corrections), eV/atom: 0.447
data_ReTcSb
_symmetry_space_group_name_H-M 'P 1'
_symmetry_Int_Tables_number 1
_symmetry_space_group_name_Hall 'P 1'
_cell_length_a 4.811
_cell_length_b 4.811
_cell_length_c 4.811
_cell_angle_alpha 143.55
_cell_angle_beta 130.12
_cell_angle_gamma 63.34
loop_
_atom_site_label
_atom_site_type_symbol
_atom_site_fract_x
_atom_site_fract_y
_atom_site_fract_z
Re1 Re 0.006 0.006 0.000
Tc1 Tc 0.660 0.660 0.000
Sb1 Sb 0.334 0.334 0.000

=====

# ReTcSb, optimized geometry, DFT PBE
# Space group: No. 216
# Final energy, eV/atom: -8.68
# Formation energy (no corrections), eV/atom: 0.297
data_ReTcSb
_symmetry_space_group_name_H-M 'P 1'
_symmetry_Int_Tables_number 1
_symmetry_space_group_name_Hall 'P 1'
_cell_length_a 4.319
_cell_length_b 4.319
_cell_length_c 4.319
_cell_angle_alpha 60.00
_cell_angle_beta 60.00
_cell_angle_gamma 60.00
loop_
_atom_site_label
_atom_site_type_symbol
_atom_site_fract_x
_atom_site_fract_y
_atom_site_fract_z
Sb1 Sb 0.500 0.500 0.500
Tc1 Tc 0.750 0.750 0.750
Re1 Re 0.000 0.000 0.000

=====

# Re2TcSb, optimized geometry, DFT PBE
# Space group: No. 99
# Final energy, eV/atom: -9.54
# Formation energy (no corrections), eV/atom: 0.306
data_Re2TcSb
_symmetry_space_group_name_H-M 'P 1'
_symmetry_Int_Tables_number 1
_symmetry_space_group_name_Hall 'P 1'
_cell_length_a 3.065
_cell_length_b 3.065
_cell_length_c 6.883
_cell_angle_alpha 90.00
_cell_angle_beta 90.00
_cell_angle_gamma 90.00
loop_
_atom_site_label
_atom_site_type_symbol
_atom_site_fract_x
_atom_site_fract_y
_atom_site_fract_z
Re1 Re 0.500 0.500 0.236
Re2 Re 0.000 0.000 0.000
Tc1 Tc 0.500 0.500 0.760
Sb1 Sb 0.000 0.000 0.505

=====

# Re2TcSb, optimized geometry, DFT PBE
# Space group: No. 122
# Final energy, eV/atom: -8.46
# Formation energy (no corrections), eV/atom: 1.383
data_Re2TcSb
_symmetry_space_group_name_H-M 'P 1'
_symmetry_Int_Tables_number 1
_symmetry_space_group_name_Hall 'P 1'
_cell_length_a 5.819
_cell_length_b 5.819
_cell_length_c 7.087
_cell_angle_alpha 65.76
_cell_angle_beta 65.76
_cell_angle_gamma 90.00
loop_
_atom_site_label
_atom_site_type_symbol
_atom_site_fract_x
_atom_site_fract_y
_atom_site_fract_z
Sb1 Sb 0.000 0.000 0.000
Sb2 Sb 0.750 0.250 0.500
Re1 Re 0.375 0.407 0.750
Re2 Re 0.593 0.125 0.250
Re3 Re 0.875 0.843 0.750
Re4 Re 0.157 0.625 0.250
Tc1 Tc 0.500 0.500 0.000
Tc2 Tc 0.250 0.750 0.500

=====

# Re2TcSb, optimized geometry, DFT PBE
# Space group: No. 160
# Final energy, eV/atom: -9.46
# Formation energy (no corrections), eV/atom: 0.384
data_Re2TcSb
_symmetry_space_group_name_H-M 'P 1'
_symmetry_Int_Tables_number 1
_symmetry_space_group_name_Hall 'P 1'
_cell_length_a 8.931
_cell_length_b 8.931
_cell_length_c 8.931
_cell_angle_alpha 18.93
_cell_angle_beta 18.93
_cell_angle_gamma 18.93
loop_
_atom_site_label
_atom_site_type_symbol
_atom_site_fract_x
_atom_site_fract_y
_atom_site_fract_z
Sb1 Sb 0.499 0.499 0.499
Tc1 Tc 0.747 0.747 0.747
Re1 Re 0.000 0.000 0.000
Re2 Re 0.254 0.254 0.254

=====

# Re2TcSb, optimized geometry, DFT PBE
# Space group: No. 123
# Final energy, eV/atom: -9.18
# Formation energy (no corrections), eV/atom: 0.663
data_Re2TcSb
_symmetry_space_group_name_H-M 'P 1'
_symmetry_Int_Tables_number 1
_symmetry_space_group_name_Hall 'P 1'
_cell_length_a 4.518
_cell_length_b 3.800
_cell_length_c 3.800
_cell_angle_alpha 90.00
_cell_angle_beta 90.00
_cell_angle_gamma 90.00
loop_
_atom_site_label
_atom_site_type_symbol
_atom_site_fract_x
_atom_site_fract_y
_atom_site_fract_z
Re1 Re 0.000 0.000 0.000
Re2 Re 0.000 0.500 0.500
Tc1 Tc 0.500 0.000 0.500
Sb1 Sb 0.500 0.500 0.000

=====

# Re2TcSb, optimized geometry, DFT PBE
# Space group: No. 71
# Final energy, eV/atom: -9.42
# Formation energy (no corrections), eV/atom: 0.426
data_Re2TcSb
_symmetry_space_group_name_H-M 'P 1'
_symmetry_Int_Tables_number 1
_symmetry_space_group_name_Hall 'P 1'
_cell_length_a 5.339
_cell_length_b 5.339
_cell_length_c 5.339
_cell_angle_alpha 146.13
_cell_angle_beta 130.14
_cell_angle_gamma 61.64
loop_
_atom_site_label
_atom_site_type_symbol
_atom_site_fract_x
_atom_site_fract_y
_atom_site_fract_z
Sb1 Sb 0.750 0.250 0.500
Re1 Re 0.987 0.987 0.000
Re2 Re 0.513 0.513 0.000
Tc1 Tc 0.250 0.750 0.500

=====

# ReTcSb, optimized geometry, DFT PBE
# Space group: No. 107
# Final energy, eV/atom: -8.68
# Formation energy (no corrections), eV/atom: 0.301
data_ReTcSb
_symmetry_space_group_name_H-M 'P 1'
_symmetry_Int_Tables_number 1
_symmetry_space_group_name_Hall 'P 1'
_cell_length_a 5.979
_cell_length_b 5.979
_cell_length_c 3.015
_cell_angle_alpha 75.39
_cell_angle_beta 75.39
_cell_angle_gamma 29.21
loop_
_atom_site_label
_atom_site_type_symbol
_atom_site_fract_x
_atom_site_fract_y
_atom_site_fract_z
Re1 Re 0.013 0.013 0.987
Tc1 Tc 0.654 0.654 0.346
Sb1 Sb 0.333 0.333 0.667

=====

# Re2TcSb, optimized geometry, DFT PBE
# Space group: No. 123
# Final energy, eV/atom: -9.28
# Formation energy (no corrections), eV/atom: 0.570
data_Re2TcSb
_symmetry_space_group_name_H-M 'P 1'
_symmetry_Int_Tables_number 1
_symmetry_space_group_name_Hall 'P 1'
_cell_length_a 4.559
_cell_length_b 4.559
_cell_length_c 3.112
_cell_angle_alpha 90.00
_cell_angle_beta 90.00
_cell_angle_gamma 90.00
loop_
_atom_site_label
_atom_site_type_symbol
_atom_site_fract_x
_atom_site_fract_y
_atom_site_fract_z
Re1 Re 0.000 0.000 0.000
Re2 Re 0.500 0.500 0.000
Sb1 Sb 0.500 0.000 0.500
Tc1 Tc 0.000 0.500 0.500

=====

# ReTcSb, optimized geometry, DFT PBE
# Space group: No. 156
# Final energy, eV/atom: -8.60
# Formation energy (no corrections), eV/atom: 0.374
data_ReTcSb
_symmetry_space_group_name_H-M 'P 1'
_symmetry_Int_Tables_number 1
_symmetry_space_group_name_Hall 'P 1'
_cell_length_a 2.979
_cell_length_b 2.979
_cell_length_c 6.683
_cell_angle_alpha 90.00
_cell_angle_beta 90.00
_cell_angle_gamma 120.00
loop_
_atom_site_label
_atom_site_type_symbol
_atom_site_fract_x
_atom_site_fract_y
_atom_site_fract_z
Sb1 Sb 0.667 0.333 0.336
Re1 Re 0.000 0.000 0.980
Tc1 Tc 0.333 0.667 0.684